[1]
{
  "formula": "PmPr7Ga4",
  "functional": "PBE",
  "state": "relaxed",
  "cell": [[6.994, -2.865, 0.000], [6.994, 2.865, 0.000], [-5.964, 0.000, 8.866]],
  "species": ["Pm", "Pr", "Pr", "Pr", "Pr", "Pr", "Pr", "Pr", "Ga", "Ga", "Ga", "Ga"],
  "fractional_positions": [[0.000, 0.000, 0.000], [0.066, 0.066, 0.387], [0.205, 0.205, 0.880], [0.296, 0.296, 0.357], [0.500, 0.500, 0.000], [0.704, 0.704, 0.643], [0.795, 0.795, 0.120], [0.934, 0.934, 0.613], [0.321, 0.321, 0.669], [0.449, 0.449, 0.244], [0.551, 0.551, 0.756], [0.679, 0.679, 0.331]],
  "formation_energy_mev_per_atom": -204
}

***

[2]
{
  "formula": "Pm2PrGa",
  "functional": "PBE",
  "state": "relaxed",
  "cell": [[4.859, 0.000, 0.000], [0.000, 4.859, 0.000], [0.000, 0.000, 4.836]],
  "species": ["Pm", "Pm", "Pr", "Ga"],
  "fractional_positions": [[0.000, 0.500, 0.000], [0.500, 0.000, 0.000], [0.000, 0.000, 0.500], [0.500, 0.500, 0.500]],
  "formation_energy_mev_per_atom": -234
}

***

[3]
{
  "formula": "Pm3PrGa2",
  "functional": "PBE",
  "state": "relaxed",
  "cell": [[5.164, 0.000, 0.000], [0.000, 9.715, 0.000], [0.000, 0.000, 6.716]],
  "species": ["Pm", "Pm", "Pm", "Pm", "Pm", "Pm", "Pr", "Pr", "Ga", "Ga", "Ga", "Ga"],
  "fractional_positions": [[0.000, 0.055, 0.000], [0.000, 0.328, 0.338], [0.000, 0.672, 0.838], [0.000, 0.945, 0.500], [0.500, 0.169, 0.701], [0.500, 0.831, 0.201], [0.500, 0.447, 0.040], [0.500, 0.553, 0.540], [0.000, 0.350, 0.806], [0.000, 0.650, 0.306], [0.500, 0.147, 0.231], [0.500, 0.853, 0.731]],
  "formation_energy_mev_per_atom": -392
}

***

[4]
{
  "formula": "Pm3PrGa2",
  "functional": "PBE",
  "state": "relaxed",
  "cell": [[8.882, -2.327, 0.000], [8.882, 2.327, 0.000], [-3.649, 0.000, 8.409]],
  "species": ["Pm", "Pm", "Pm", "Pm", "Pm", "Pm", "Pr", "Pr", "Ga", "Ga", "Ga", "Ga"],
  "fractional_positions": [[0.047, 0.047, 0.191], [0.319, 0.319, 0.568], [0.352, 0.352, 0.024], [0.648, 0.648, 0.976], [0.681, 0.681, 0.432], [0.953, 0.953, 0.809], [0.118, 0.118, 0.646], [0.882, 0.882, 0.354], [0.229, 0.229, 0.207], [0.500, 0.500, 0.358], [0.500, 0.500, 0.642], [0.771, 0.771, 0.793]],
  "formation_energy_mev_per_atom": -341
}

***

[5]
{
  "formula": "Pm4PrGa2",
  "functional": "PBE",
  "state": "relaxed",
  "cell": [[2.521, 1.456, 10.293], [-2.521, 1.456, 10.293], [0.000, -2.911, 10.293]],
  "species": ["Pm", "Pm", "Pm", "Pm", "Pr", "Ga", "Ga"],
  "fractional_positions": [[0.103, 0.103, 0.103], [0.298, 0.298, 0.298], [0.702, 0.702, 0.702], [0.897, 0.897, 0.897], [0.500, 0.500, 0.500], [0.400, 0.400, 0.400], [0.600, 0.600, 0.600]],
  "formation_energy_mev_per_atom": -100
}

***

[6]
{
  "formula": "Pm3PrGa3",
  "functional": "PBE",
  "state": "relaxed",
  "cell": [[9.530, 0.000, 0.000], [-4.765, 8.253, 0.000], [0.000, 0.000, 4.824]],
  "species": ["Pm", "Pm", "Pm", "Pm", "Pm", "Pm", "Pr", "Pr", "Ga", "Ga", "Ga", "Ga", "Ga", "Ga"],
  "fractional_positions": [[0.023, 0.262, 0.250], [0.239, 0.977, 0.250], [0.262, 0.239, 0.750], [0.738, 0.761, 0.250], [0.761, 0.023, 0.750], [0.977, 0.738, 0.750], [0.333, 0.667, 0.750], [0.667, 0.333, 0.250], [0.057, 0.604, 0.250], [0.396, 0.452, 0.250], [0.452, 0.057, 0.750], [0.548, 0.943, 0.250], [0.604, 0.548, 0.750], [0.943, 0.396, 0.750]],
  "formation_energy_mev_per_atom": -418
}

***

no.,magnetic moment (μB per atom)
1,0.01
2,0.00
3,0.00
4,0.00
5,0.00
6,0.00